# 1
{
  "formula": "TlCS2N",
  "functional": "GGA-PBE",
  "state": "relaxed",
  "energy_ev_per_atom": -2.94,
  "de_polymorph_mev_per_atom": 1959,
  "raw_formation_energy_ev_per_atom": 2.699,
  "total_magnetization_mub_per_atom": 0.41,
  "cell": [[-3.266, -3.579, -2.057], [-0.772, -2.048, 4.787], [-3.376, 2.724, 0.621]],
  "species": ["Tl", "S", "S", "C", "N"],
  "frac_coords": [[0.000, 0.000, 0.000], [0.000, 0.500, 0.000], [0.500, 0.000, 0.000], [0.500, 0.500, 0.500], [0.000, 0.000, 0.500]]
}


# 2
{
  "formula": "TlCS2N",
  "functional": "GGA-PBE",
  "state": "relaxed",
  "energy_ev_per_atom": -4.89,
  "de_polymorph_mev_per_atom": 0,
  "raw_formation_energy_ev_per_atom": 0.740,
  "total_magnetization_mub_per_atom": 0.00,
  "cell": [[6.159, 0.000, 0.000], [0.000, 6.159, 0.000], [0.000, 0.000, 2.499]],
  "species": ["S", "C", "N", "Tl", "S"],
  "frac_coords": [[0.500, 0.000, 0.000], [0.000, 0.000, 0.000], [0.000, 0.000, 0.500], [0.500, 0.500, 0.500], [0.000, 0.500, 0.000]]
}


# 3
{
  "formula": "TlCSN",
  "functional": "GGA-PBE",
  "state": "relaxed",
  "energy_ev_per_atom": -5.98,
  "raw_formation_energy_ev_per_atom": 0.032,
  "total_magnetization_mub_per_atom": 0.00,
  "cell": [[-1.590, -4.343, 5.036], [-4.763, -2.956, -4.053], [5.367, -5.027, -2.640]],
  "species": ["N", "Tl", "S", "N", "C", "C", "S", "Tl", "C", "S", "S", "N", "C", "N", "Tl", "Tl"],
  "frac_coords": [[0.404, 0.380, 0.750], [0.250, 0.715, 0.000], [0.895, 0.902, 0.250], [0.596, 0.620, 0.250], [0.278, 0.261, 0.750], [0.722, 0.739, 0.250], [0.605, 0.902, 0.750], [0.750, 0.285, 0.000], [0.778, 0.739, 0.750], [0.395, 0.098, 0.250], [0.105, 0.098, 0.750], [0.904, 0.620, 0.750], [0.222, 0.261, 0.250], [0.096, 0.380, 0.250], [0.750, 0.285, 0.500], [0.250, 0.715, 0.500]]
}


# 4
{
  "formula": "TlCSN2",
  "functional": "GGA-PBE",
  "state": "relaxed",
  "energy_ev_per_atom": -3.23,
  "de_polymorph_mev_per_atom": 977,
  "raw_formation_energy_ev_per_atom": 3.239,
  "total_magnetization_mub_per_atom": 0.85,
  "cell": [[-1.458, 3.694, -1.457], [-2.650, 0.251, 3.288], [4.027, 2.785, 3.033]],
  "species": ["N", "C", "Tl", "N", "S"],
  "frac_coords": [[0.500, 0.000, 0.000], [0.500, 0.500, 0.500], [0.000, 0.000, 0.000], [0.000, 0.500, 0.000], [0.000, 0.000, 0.500]]
}


# 5
{
  "formula": "Tm4CS2N",
  "functional": "GGA-PBE",
  "state": "relaxed",
  "energy_ev_per_atom": -7.10,
  "raw_formation_energy_ev_per_atom": -1.638,
  "total_magnetization_mub_per_atom": 0.00,
  "cell": [[3.609, 0.000, 0.000], [0.000, 6.239, 0.106], [0.000, -2.185, 6.138]],
  "species": ["S", "S", "N", "Tm", "C", "Tm", "Tm", "Tm"],
  "frac_coords": [[0.000, 0.500, 0.500], [0.500, 0.000, 0.500], [0.000, 0.000, 0.000], [0.000, 0.737, 0.212], [0.500, 0.500, 0.000], [0.000, 0.263, 0.788], [0.500, 0.762, 0.790], [0.500, 0.238, 0.210]]
}


# 6
{
  "formula": "Tm6CS3N2",
  "functional": "GGA-PBE",
  "state": "relaxed",
  "energy_ev_per_atom": -7.15,
  "raw_formation_energy_ev_per_atom": -1.727,
  "total_magnetization_mub_per_atom": 0.00,
  "cell": [[-3.240, -0.824, 5.241], [4.439, -4.056, -1.581], [3.758, 4.963, 1.878]],
  "species": ["N", "C", "S", "Tm", "N", "Tm", "Tm", "Tm", "S", "Tm", "Tm", "S"],
  "frac_coords": [[0.333, 0.667, 0.000], [0.000, 0.000, 0.000], [0.834, 0.166, 0.500], [0.264, 0.264, 0.790], [0.667, 0.333, 0.000], [0.930, 0.597, 0.790], [0.736, 0.736, 0.210], [0.403, 0.070, 0.210], [0.500, 0.500, 0.500], [0.070, 0.403, 0.210], [0.597, 0.930, 0.790], [0.166, 0.834, 0.500]]
}